The following is a DFT calculation (PBE) of a relaxed structure of YAlPb2N.

a = 5.169 Å, b = 5.169 Å, c = 5.731 Å
α = 90.00°, β = 90.00°, γ = 90.00°
Fractional positions:
Y (0.000, 0.000, 0.000)
Al (0.000, 0.000, 0.500)
Pb (0.000, 0.500, 0.500)
Pb (0.500, 0.000, 0.500)
N (0.500, 0.500, 0.000)

Calculated values
V	153.1	Å³/f.u.
energy relative to the elements, uncorrected	1.241	eV/atom
E	-3.949	eV/atom
space-group type	P4/mmm



The following is a DFT calculation (PBE) of a relaxed structure of ZrAlPb2N.

a = 5.149 Å, b = 5.149 Å, c = 4.288 Å
α = 90.00°, β = 90.00°, γ = 90.00°
Fractional positions:
Zr (0.000, 0.000, 0.000)
Al (0.500, 0.500, 0.000)
Pb (0.000, 0.500, 0.500)
Pb (0.500, 0.000, 0.500)
N (0.000, 0.000, 0.500)

Calculated values
V	113.7	Å³/f.u.
energy relative to the elements, uncorrected	0.160	eV/atom
E	-5.446	eV/atom
space-group type	P4/mmm



The following is a DFT calculation (PBE) of a relaxed structure of Zr2AlPbN.

a = 4.434 Å, b = 4.434 Å, c = 5.075 Å
α = 90.00°, β = 90.00°, γ = 90.00°
Fractional positions:
Zr (0.000, 0.500, 0.000)
Zr (0.500, 0.000, 0.000)
Al (0.000, 0.000, 0.500)
Pb (0.500, 0.500, 0.500)
N (0.500, 0.500, 0.000)

Calculated values
V	99.8	Å³/f.u.
energy relative to the elements, uncorrected	-0.267	eV/atom
E	-6.842	eV/atom
space-group type	P4/mmm



The following is a DFT calculation (PBE) of a relaxed structure of Al3PdN.

a = 4.690 Å, b = 4.690 Å, c = 4.690 Å
α = 90.00°, β = 90.00°, γ = 90.00°
Fractional positions:
Al (0.000, 0.000, 0.500)
Al (0.000, 0.500, 0.000)
Al (0.500, 0.000, 0.000)
Pd (0.000, 0.000, 0.000)
N (0.500, 0.500, 0.500)

Calculated values
V	103.1	Å³/f.u.
energy relative to the lowest polymorph listed for this composition	1.1690	eV/atom
energy relative to the elements, uncorrected	0.795	eV/atom
E	-4.154	eV/atom
space-group type	Pm-3m



The following is a DFT calculation (PBE) of a relaxed structure of AlPd2N.

a = 4.202 Å, b = 4.202 Å, c = 4.202 Å
α = 60.00°, β = 60.00°, γ = 60.00°
Fractional positions:
Al (0.000, 0.000, 0.000)
Pd (0.250, 0.250, 0.250)
Pd (0.750, 0.750, 0.750)
N (0.500, 0.500, 0.500)

Calculated values
V	52.5	Å³/f.u.
energy relative to the lowest polymorph listed for this composition	0.1912	eV/atom
energy relative to the elements, uncorrected	0.493	eV/atom
E	-5.121	eV/atom
space-group type	Fm-3m



The following is a DFT calculation (PBE) of a relaxed structure of AlPd3N.

a = 4.603 Å, b = 4.603 Å, c = 4.603 Å
α = 90.00°, β = 90.00°, γ = 90.00°
Fractional positions:
Al (0.000, 0.000, 0.000)
Pd (0.000, 0.000, 0.500)
Pd (0.000, 0.500, 0.000)
Pd (0.500, 0.000, 0.000)
N (0.500, 0.500, 0.500)

Calculated values
V	97.6	Å³/f.u.
energy relative to the lowest polymorph listed for this composition	1.2804	eV/atom
energy relative to the elements, uncorrected	1.320	eV/atom
E	-4.210	eV/atom
space-group type	Pm-3m



The following is a DFT calculation (PBE) of a relaxed structure of AlPdN2.

a = 5.580 Å, b = 5.580 Å, c = 5.580 Å
α = 131.34°, β = 131.34°, γ = 71.27°
Fractional positions:
Al (0.000, 0.000, 0.000)
Al (0.750, 0.250, 0.500)
Pd (0.250, 0.750, 0.500)
Pd (0.500, 0.500, 0.000)
N (0.086, 0.625, 0.961)
N (0.375, 0.336, 0.461)
N (0.664, 0.125, 0.039)
N (0.875, 0.914, 0.539)

Calculated values
V	47.9	Å³/f.u.
energy relative to the elements, uncorrected	0.020	eV/atom
E	-6.377	eV/atom
space-group type	I-42d



The following is a DFT calculation (PBE) of a relaxed structure of Al3PdN.

a = 3.986 Å, b = 3.986 Å, c = 3.986 Å
α = 90.00°, β = 90.00°, γ = 90.00°
Fractional positions:
Al (0.000, 0.000, 0.500)
Al (0.000, 0.500, 0.000)
Al (0.500, 0.000, 0.000)
Pd (0.500, 0.500, 0.500)
N (0.000, 0.000, 0.000)

Calculated values
V	63.4	Å³/f.u.
energy relative to the lowest polymorph listed for this composition	0.0000	eV/atom
energy relative to the elements, uncorrected	-0.374	eV/atom
E	-5.323	eV/atom
space-group type	Pm-3m



The following is a DFT calculation (PBE) of a relaxed structure of AlPdN2.

a = 6.281 Å, b = 6.281 Å, c = 6.281 Å
α = 26.85°, β = 26.85°, γ = 26.85°
Fractional positions:
Al (0.000, 0.000, 0.000)
Pd (0.500, 0.500, 0.500)
N (0.393, 0.393, 0.393)
N (0.607, 0.607, 0.607)

Calculated values
V	44.6	Å³/f.u.
energy relative to the elements, uncorrected	0.115	eV/atom
E	-6.281	eV/atom
space-group type	R-3m



The following is a DFT calculation (PBE) of a relaxed structure of AlPd2N.

a = 6.707 Å, b = 6.707 Å, c = 6.707 Å
α = 137.90°, β = 137.90°, γ = 61.05°
Fractional positions:
Al (0.000, 0.000, 0.000)
Al (0.750, 0.250, 0.500)
Pd (0.224, 0.625, 0.099)
Pd (0.375, 0.474, 0.599)
Pd (0.526, 0.125, 0.901)
Pd (0.875, 0.776, 0.401)
N (0.250, 0.750, 0.500)
N (0.500, 0.500, 0.000)

Calculated values
V	67.1	Å³/f.u.
energy relative to the lowest polymorph listed for this composition	0.0000	eV/atom
energy relative to the elements, uncorrected	0.301	eV/atom
E	-5.312	eV/atom
space-group type	I-42d



The following is a DFT calculation (PBE) of a relaxed structure of Al2PdN.

a = 5.327 Å, b = 5.327 Å, c = 5.327 Å
α = 116.14°, β = 116.14°, γ = 96.82°
Fractional positions:
Al (0.037, 0.125, 0.412)
Al (0.375, 0.963, 0.088)
Al (0.713, 0.625, 0.588)
Al (0.875, 0.287, 0.912)
Pd (0.250, 0.750, 0.500)
Pd (0.500, 0.500, 0.000)
N (0.000, 0.000, 0.000)
N (0.750, 0.250, 0.500)

Calculated values
V	56.1	Å³/f.u.
energy relative to the elements, uncorrected	-0.654	eV/atom
E	-5.905	eV/atom
space-group type	I-42d



The following is a DFT calculation (PBE) of a relaxed structure of AlPdN2.

a = 6.043 Å, b = 6.043 Å, c = 6.043 Å
α = 30.40°, β = 30.40°, γ = 30.40°
Fractional positions:
Al (0.000, 0.000, 0.000)
Pd (0.500, 0.500, 0.500)
N (0.106, 0.106, 0.106)
N (0.894, 0.894, 0.894)

Calculated values
V	50.1	Å³/f.u.
energy relative to the elements, uncorrected	0.548	eV/atom
E	-5.849	eV/atom
space-group type	R-3m



The following is a DFT calculation (PBE) of a relaxed structure of AlPd3N.

a = 4.144 Å, b = 4.144 Å, c = 4.144 Å
α = 90.00°, β = 90.00°, γ = 90.00°
Fractional positions:
Al (0.000, 0.000, 0.000)
Pd (0.000, 0.500, 0.500)
Pd (0.500, 0.000, 0.500)
Pd (0.500, 0.500, 0.000)
N (0.500, 0.500, 0.500)

Calculated values
V	71.2	Å³/f.u.
energy relative to the lowest polymorph listed for this composition	0.0000	eV/atom
energy relative to the elements, uncorrected	0.039	eV/atom
E	-5.490	eV/atom
space-group type	Pm-3m



The following is a DFT calculation (PBE) of a relaxed structure of AlPd2PtN.

a = 5.127 Å, b = 5.127 Å, c = 3.595 Å
α = 90.00°, β = 90.00°, γ = 90.00°
Fractional positions:
Al (0.000, 0.000, 0.000)
Pd (0.000, 0.500, 0.500)
Pd (0.500, 0.000, 0.500)
Pt (0.500, 0.500, 0.500)
N (0.500, 0.500, 0.000)

Calculated values
V	94.5	Å³/f.u.
energy relative to the elements, uncorrected	0.611	eV/atom
E	-5.088	eV/atom
space-group type	P4/mmm



The following is a DFT calculation (PBE) of a relaxed structure of AlPdS2N.

a = 4.887 Å, b = 4.887 Å, c = 3.694 Å
α = 90.00°, β = 90.00°, γ = 90.00°
Fractional positions:
Al (0.000, 0.000, 0.000)
Pd (0.500, 0.500, 0.500)
S (0.000, 0.500, 0.500)
S (0.500, 0.000, 0.500)
N (0.500, 0.500, 0.000)

Calculated values
V	88.2	Å³/f.u.
energy relative to the lowest polymorph listed for this composition	0.3079	eV/atom
energy relative to the elements, uncorrected	0.732	eV/atom
E	-4.372	eV/atom
space-group type	P4/mmm



The following is a DFT calculation (PBE) of a relaxed structure of AlPdS2N.

a = 4.717 Å, b = 4.717 Å, c = 3.610 Å
α = 90.00°, β = 90.00°, γ = 90.00°
Fractional positions:
Al (0.000, 0.000, 0.000)
Pd (0.500, 0.500, 0.500)
S (0.000, 0.500, 0.000)
S (0.500, 0.000, 0.000)
N (0.000, 0.000, 0.500)

Calculated values
V	80.3	Å³/f.u.
energy relative to the lowest polymorph listed for this composition	0.0000	eV/atom
energy relative to the elements, uncorrected	0.424	eV/atom
E	-4.679	eV/atom
space-group type	P4/mmm



The following is a DFT calculation (PBE) of a relaxed structure of ScAlPd2N.

a = 4.309 Å, b = 4.309 Å, c = 4.119 Å
α = 90.00°, β = 90.00°, γ = 90.00°
Fractional positions:
Sc (0.000, 0.000, 0.000)
Al (0.500, 0.500, 0.000)
Pd (0.000, 0.500, 0.500)
Pd (0.500, 0.000, 0.500)
N (0.000, 0.000, 0.500)

Calculated values
V	76.5	Å³/f.u.
energy relative to the elements, uncorrected	-0.445	eV/atom
E	-6.202	eV/atom
space-group type	P4/mmm



The following is a DFT calculation (PBE) of a relaxed structure of AlPdSeN2.

a = 3.952 Å, b = 3.952 Å, c = 5.416 Å
α = 90.00°, β = 90.00°, γ = 90.00°
Fractional positions:
Al (0.000, 0.000, 0.000)
Pd (0.500, 0.500, 0.500)
Se (0.500, 0.500, 0.000)
N (0.000, 0.500, 0.500)
N (0.500, 0.000, 0.500)

Calculated values
V	84.6	Å³/f.u.
energy relative to the lowest polymorph listed for this composition	0.4984	eV/atom
energy relative to the elements, uncorrected	1.238	eV/atom
E	-4.576	eV/atom
space-group type	P4/mmm



The following is a DFT calculation (PBE) of a relaxed structure of AlPdSe2N.

a = 5.064 Å, b = 5.064 Å, c = 3.469 Å
α = 90.00°, β = 90.00°, γ = 90.00°
Fractional positions:
Al (0.000, 0.000, 0.000)
Pd (0.500, 0.500, 0.500)
Se (0.000, 0.500, 0.000)
Se (0.500, 0.000, 0.000)
N (0.000, 0.000, 0.500)

Calculated values
V	88.9	Å³/f.u.
energy relative to the lowest polymorph listed for this composition	0.0000	eV/atom
energy relative to the elements, uncorrected	0.392	eV/atom
E	-4.454	eV/atom
space-group type	P4/mmm



The following is a DFT calculation (PBE) of a relaxed structure of AlPdSeN2.

a = 3.706 Å, b = 3.706 Å, c = 5.531 Å
α = 90.00°, β = 90.00°, γ = 90.00°
Fractional positions:
Al (0.000, 0.000, 0.000)
Pd (0.500, 0.500, 0.500)
Se (0.000, 0.000, 0.500)
N (0.000, 0.500, 0.000)
N (0.500, 0.000, 0.000)

Calculated values
V	76.0	Å³/f.u.
energy relative to the lowest polymorph listed for this composition	0.0000	eV/atom
energy relative to the elements, uncorrected	0.740	eV/atom
E	-5.074	eV/atom
space-group type	P4/mmm